Entry from Alexandria via LeMat-Bulk: a relaxed structure of Li2V3CoO8 (PBE with a Hubbard U).

a b c (Å): 8.4108 8.4109 8.4108
angles (deg): 90.00 90.00 90.00
Last column: magnetic moment on the atom in μB.
Element x y z (fractional)
Li  0.1269  0.8731  0.3731  0.00
Li  0.2484  0.7484  0.7516  0.00
Li  0.2516  0.2516  0.2516  0.00
Li  0.3731  0.1269  0.8731  0.00
Li  0.6269  0.6269  0.6269  0.00
Li  0.7484  0.7516  0.2484  0.00
Li  0.7516  0.2484  0.7484  0.00
Li  0.8731  0.3731  0.1269  0.00
V  0.1221  0.6199  0.1251  1.06
V  0.1199  0.3749  0.8779  1.06
V  0.1251  0.1221  0.6199  1.06
V  0.3749  0.8779  0.1199  1.06
V  0.3801  0.6251  0.3779  1.06
V  0.3779  0.3801  0.6251  1.06
V  0.6221  0.8801  0.8749  1.06
V  0.6199  0.1251  0.1221  1.06
V  0.6251  0.3779  0.3801  1.06
V  0.8749  0.6221  0.8801  1.06
V  0.8801  0.8749  0.6221  1.06
V  0.8779  0.1199  0.3749  1.06
Co  0.9995  0.5005  0.4995  2.69
Co  0.5005  0.4995  0.9995  2.69
Co  0.4995  0.9995  0.5005  2.69
Co  0.0005  0.0005  0.0005  2.69
O  0.1085  0.1291  0.3978  -0.04
O  0.1022  0.8915  0.6291  -0.04
O  0.1129  0.6128  0.8871  0.00
O  0.1291  0.3978  0.1085  -0.04
O  0.1210  0.1412  0.8545  0.01
O  0.1367  0.3633  0.6367  0.03
O  0.1455  0.6210  0.3588  0.01
O  0.1412  0.8545  0.1209  0.01
O  0.3589  0.1455  0.6210  0.01
O  0.3545  0.3790  0.8589  0.01
O  0.3633  0.6367  0.1367  0.03
O  0.3790  0.8589  0.3545  0.01
O  0.3710  0.6022  0.6086  -0.04
O  0.3871  0.3872  0.3872  0.00
O  0.3978  0.1085  0.1291  -0.04
O  0.3915  0.8709  0.8978  -0.04
O  0.6085  0.3709  0.6022  -0.04
O  0.6022  0.6085  0.3709  -0.04
O  0.6129  0.8871  0.1128  0.00
O  0.6291  0.1022  0.8914  -0.04
O  0.6209  0.3588  0.1455  0.01
O  0.6366  0.1367  0.3633  0.03
O  0.6455  0.8790  0.6411  0.01
O  0.6412  0.6455  0.8790  0.01
O  0.8588  0.3545  0.3790  0.01
O  0.8546  0.1210  0.1412  0.01
O  0.8633  0.8634  0.8633  0.03
O  0.8790  0.6412  0.6455  0.01
O  0.8709  0.8978  0.3915  -0.04
O  0.8872  0.1129  0.6129  0.00
O  0.8978  0.3914  0.8710  -0.04
O  0.8915  0.6291  0.1022  -0.04

electronic total energy = -7.00 eV/atom
total moment = 23.99 Bohr magnetons per cell
symmetry = P2_13 (198)
E above lowest polymorph = 0.0000 eV per atom